<A>
Below is a geometry-optimized CeSm3Se6 structure, with properties calculated at the GGA-PBE level.

abc: 11.788 4.210 12.093
angles: 90.00 108.77 90.00
Fractional positions:
Ce 0.045 0.250 0.192
Ce 0.955 0.750 0.808
Sm 0.159 0.250 0.584
Sm 0.319 0.750 0.999
Sm 0.434 0.250 0.332
Sm 0.566 0.750 0.668
Sm 0.681 0.250 0.001
Sm 0.841 0.750 0.416
Se 0.084 0.750 0.401
Se 0.114 0.250 0.964
Se 0.192 0.750 0.751
Se 0.255 0.750 0.224
Se 0.396 0.250 0.562
Se 0.482 0.250 0.115
Se 0.518 0.750 0.885
Se 0.604 0.750 0.438
Se 0.745 0.250 0.776
Se 0.808 0.250 0.249
Se 0.886 0.750 0.036
Se 0.916 0.250 0.599

Output
* size of the total moment: 2.0 Bohr magnetons per cell

---

<B>
Below is a geometry-optimized CeSm3Se6 structure, with properties calculated at the GGA-PBE level.

abc: 6.984 7.715 12.840
angles: 90.00 122.29 90.00
Fractional positions:
Ce 0.000 0.000 0.000
Ce 0.000 0.500 0.500
Sm 0.300 0.104 0.751
Sm 0.300 0.396 0.251
Sm 0.500 0.000 0.500
Sm 0.500 0.500 0.000
Sm 0.700 0.604 0.749
Sm 0.700 0.896 0.249
Se 0.089 0.065 0.252
Se 0.089 0.435 0.752
Se 0.260 0.682 0.088
Se 0.260 0.818 0.588
Se 0.416 0.183 0.086
Se 0.416 0.317 0.586
Se 0.584 0.683 0.414
Se 0.584 0.817 0.914
Se 0.740 0.182 0.412
Se 0.740 0.318 0.912
Se 0.911 0.565 0.248
Se 0.911 0.935 0.748

Output
* size of the total moment: 2.1 Bohr magnetons per cell

---

Verdict on stability: <A> comes out on top.

---

<A>
Below is a geometry-optimized Ce2SnSe structure, with properties calculated at the GGA-PBE level.

abc: 3.582 3.582 8.122
angles: 90.00 90.00 90.00
Fractional positions:
Ce 0.000 0.000 0.228
Ce 0.000 0.000 0.772
Sn 0.500 0.500 0.500
Se 0.500 0.500 0.000

Output
* size of the total moment: 2.7 Bohr magnetons per cell

---

<B>
Below is a geometry-optimized Ce2SnSe structure, with properties calculated at the GGA-PBE level.

abc: 7.521 7.521 7.521
angles: 33.74 33.74 33.74
Fractional positions:
Ce 0.245 0.245 0.245
Ce 0.755 0.755 0.755
Sn 0.000 0.000 0.000
Se 0.500 0.500 0.500

Output
* size of the total moment: 1.5 Bohr magnetons per cell

---

Verdict on stability: <B> comes out on top.

---

<A>
Below is a geometry-optimized Ce2SnSe5 structure, with properties calculated at the GGA-PBE level.

abc: 7.452 7.452 14.032
angles: 90.00 90.00 135.11
Fractional positions:
Ce 0.145 0.855 0.561
Ce 0.145 0.855 0.939
Ce 0.855 0.145 0.061
Ce 0.855 0.145 0.439
Sn 0.204 0.796 0.250
Sn 0.796 0.204 0.750
Se 0.050 0.950 0.116
Se 0.050 0.950 0.384
Se 0.240 0.760 0.750
Se 0.318 0.682 0.061
Se 0.318 0.682 0.439
Se 0.682 0.318 0.561
Se 0.682 0.318 0.939
Se 0.760 0.240 0.250
Se 0.950 0.050 0.616
Se 0.950 0.050 0.884

Output
* size of the total moment: 0.8 Bohr magnetons per cell

---

<B>
Below is a geometry-optimized Ce2SnSe5 structure, with properties calculated at the GGA-PBE level.

abc: 8.090 12.142 4.146
angles: 90.00 90.00 90.00
Fractional positions:
Ce 0.034 0.174 0.000
Ce 0.466 0.674 0.000
Ce 0.534 0.326 0.000
Ce 0.966 0.826 0.000
Sn 0.000 0.500 0.500
Sn 0.500 0.000 0.500
Se 0.000 0.000 0.500
Se 0.177 0.402 0.000
Se 0.177 0.699 0.500
Se 0.323 0.199 0.500
Se 0.323 0.902 0.000
Se 0.500 0.500 0.500
Se 0.677 0.098 0.000
Se 0.677 0.801 0.500
Se 0.823 0.301 0.500
Se 0.823 0.598 0.000

Output
* size of the total moment: 2.8 Bohr magnetons per cell

---

Verdict on stability: <B> comes out on top.

---

<A>
Below is a geometry-optimized CeTaSe3 structure, with properties calculated at the GGA-PBE level.

abc: 7.008 4.306 8.024
angles: 90.00 104.78 90.00
Fractional positions:
Ce 0.109 0.250 0.283
Ce 0.891 0.750 0.717
Ta 0.427 0.750 0.881
Ta 0.573 0.250 0.119
Se 0.184 0.250 0.910
Se 0.224 0.750 0.553
Se 0.390 0.750 0.200
Se 0.610 0.250 0.800
Se 0.776 0.250 0.447
Se 0.816 0.750 0.090

Output
* size of the total moment: 1.5 Bohr magnetons per cell

---

<B>
Below is a geometry-optimized CeTaSe3 structure, with properties calculated at the GGA-PBE level.

abc: 7.644 7.644 8.414
angles: 92.31 92.31 28.46
Fractional positions:
Ce 0.104 0.104 0.396
Ce 0.896 0.896 0.604
Ta 0.293 0.293 0.118
Ta 0.707 0.707 0.882
Se 0.121 0.121 0.033
Se 0.249 0.249 0.669
Se 0.445 0.445 0.329
Se 0.555 0.555 0.671
Se 0.751 0.751 0.331
Se 0.879 0.879 0.967

Output
* size of the total moment: 1.3 Bohr magnetons per cell

---

Verdict on stability: <B> comes out on top.

---

<A>
Below is a geometry-optimized CeTa4Se8 structure, with properties calculated at the GGA-PBE level.

abc: 7.638 7.638 7.638
angles: 60.00 60.00 60.00
Fractional positions:
Ce 0.000 0.000 0.000
Ta 0.399 0.399 0.399
Ta 0.399 0.399 0.804
Ta 0.399 0.804 0.399
Ta 0.804 0.399 0.399
Se 0.102 0.633 0.633
Se 0.146 0.146 0.146
Se 0.146 0.146 0.563
Se 0.146 0.563 0.146
Se 0.563 0.146 0.146
Se 0.633 0.102 0.633
Se 0.633 0.633 0.102
Se 0.633 0.633 0.633

Output
* size of the total moment: 1.4 Bohr magnetons per cell

---

<B>
Below is a geometry-optimized CeTa4Se8 structure, with properties calculated at the GGA-PBE level.

abc: 8.149 8.149 8.149
angles: 51.94 51.94 51.94
Fractional positions:
Ce 0.000 0.000 0.000
Ta 0.000 0.000 0.500
Ta 0.000 0.500 0.000
Ta 0.500 0.000 0.000
Ta 0.500 0.500 0.500
Se 0.244 0.244 0.244
Se 0.257 0.738 0.738
Se 0.262 0.262 0.743
Se 0.262 0.743 0.262
Se 0.738 0.257 0.738
Se 0.738 0.738 0.257
Se 0.743 0.262 0.262
Se 0.756 0.756 0.756

Output
* size of the total moment: 0.7 Bohr magnetons per cell

---

Verdict on stability: <B> comes out on top.

---

<A>
Below is a geometry-optimized TbCe2Se3 structure, with properties calculated at the GGA-PBE level.

abc: 7.234 7.234 7.234
angles: 146.69 131.94 59.73
Fractional positions:
Tb 0.000 0.000 0.000
Ce 0.332 0.332 0.000
Ce 0.668 0.668 0.000
Se 0.162 0.662 0.500
Se 0.500 0.000 0.500
Se 0.838 0.338 0.500

Output
* size of the total moment: 1.9 Bohr magnetons per cell

---

<B>
Below is a geometry-optimized TbCe2Se3 structure, with properties calculated at the GGA-PBE level.

abc: 4.100 4.100 21.155
angles: 90.00 90.00 120.00
Fractional positions:
Tb 0.000 0.000 0.250
Tb 0.000 0.000 0.750
Ce 0.333 0.667 0.083
Ce 0.333 0.667 0.417
Ce 0.667 0.333 0.583
Ce 0.667 0.333 0.917
Se 0.000 0.000 0.000
Se 0.000 0.000 0.500
Se 0.333 0.667 0.668
Se 0.333 0.667 0.832
Se 0.667 0.333 0.168
Se 0.667 0.333 0.332

Output
* size of the total moment: 3.8 Bohr magnetons per cell

---

Verdict on stability: <A> comes out on top.

---

<A>
Below is a geometry-optimized Tb3Ce2Se8 structure, with properties calculated at the GGA-PBE level.

abc: 8.683 8.683 4.931
angles: 90.00 90.00 109.42
Fractional positions:
Tb 0.000 0.000 0.000
Tb 0.279 0.279 0.500
Tb 0.721 0.721 0.500
Ce 0.264 0.736 0.000
Ce 0.736 0.264 0.000
Se 0.118 0.362 0.000
Se 0.118 0.882 0.500
Se 0.362 0.118 0.000
Se 0.373 0.627 0.500
Se 0.627 0.373 0.500
Se 0.638 0.882 0.000
Se 0.882 0.118 0.500
Se 0.882 0.638 0.000

Output
* size of the total moment: 1.1 Bohr magnetons per cell

---

<B>
Below is a geometry-optimized Tb3Ce2Se8 structure, with properties calculated at the GGA-PBE level.

abc: 8.457 8.457 6.987
angles: 106.76 106.76 58.25
Fractional positions:
Tb 0.000 0.000 0.000
Tb 0.260 0.740 0.500
Tb 0.740 0.260 0.500
Ce 0.259 0.259 0.831
Ce 0.741 0.741 0.169
Se 0.110 0.642 0.087
Se 0.117 0.117 0.422
Se 0.358 0.890 0.913
Se 0.389 0.389 0.607
Se 0.611 0.611 0.393
Se 0.642 0.110 0.087
Se 0.883 0.883 0.578
Se 0.890 0.358 0.913

Output
* size of the total moment: 1.0 Bohr magnetons per cell

---

Verdict on stability: <B> comes out on top.

---

<A>
Below is a geometry-optimized Tb4CeSe5 structure, with properties calculated at the GGA-PBE level.

abc: 14.832 14.832 14.832
angles: 164.04 164.04 22.64
Fractional positions:
Tb 0.100 0.100 0.000
Tb 0.301 0.301 0.000
Tb 0.699 0.699 0.000
Tb 0.900 0.900 0.000
Ce 0.500 0.500 0.000
Se 0.000 0.000 0.000
Se 0.201 0.201 0.000
Se 0.399 0.399 0.000
Se 0.601 0.601 0.000
Se 0.799 0.799 0.000

Output
* size of the total moment: 0.9 Bohr magnetons per cell

---

<B>
Below is a geometry-optimized Tb4CeSe5 structure, with properties calculated at the GGA-PBE level.

abc: 7.153 7.153 10.104
angles: 118.35 118.35 33.32
Fractional positions:
Tb 0.099 0.099 0.397
Tb 0.298 0.298 0.199
Tb 0.702 0.702 0.801
Tb 0.901 0.901 0.603
Ce 0.500 0.500 0.000
Se 0.103 0.103 0.897
Se 0.297 0.297 0.694
Se 0.500 0.500 0.500
Se 0.703 0.703 0.306
Se 0.897 0.897 0.103

Output
* size of the total moment: 1.1 Bohr magnetons per cell

---

Verdict on stability: <B> comes out on top.